# 1
Sm2Tl3PbSe6 | PBE | optimized geometry

Symmetry: C2/m
Energy relative to the elements, uncorrected, eV/f.u.: -12.46

Cell: 7.512 7.512 7.879 Å, 99.01 99.01 120.05°
Positions (direct):
Sm (0.168, 0.832, 0.000)
Sm (0.832, 0.168, 0.000)
Tl (0.000, 0.000, 0.500)
Tl (0.335, 0.665, 0.500)
Tl (0.665, 0.335, 0.500)
Pb (0.500, 0.500, 0.000)
Se (0.078, 0.427, 0.780)
Se (0.222, 0.222, 0.216)
Se (0.427, 0.078, 0.780)
Se (0.573, 0.922, 0.220)
Se (0.778, 0.778, 0.784)
Se (0.922, 0.573, 0.220)

***

# 2
Sm6TlPb2Se3 | PBE | optimized geometry

Symmetry: C2/m
Energy relative to the elements, uncorrected, eV/f.u.: -13.55

Cell: 10.035 10.035 8.902 Å, 110.59 110.59 24.54°
Positions (direct):
Sm (0.010, 0.010, 0.234)
Sm (0.327, 0.327, 0.438)
Sm (0.336, 0.336, 0.917)
Sm (0.664, 0.664, 0.083)
Sm (0.673, 0.673, 0.562)
Sm (0.990, 0.990, 0.766)
Tl (0.500, 0.500, 0.500)
Pb (0.159, 0.159, 0.813)
Pb (0.841, 0.841, 0.187)
Se (0.169, 0.169, 0.324)
Se (0.500, 0.500, 0.000)
Se (0.831, 0.831, 0.676)

***

# 3
SmTmPbSe | PBE | optimized geometry

Symmetry: P4/mmm
Energy relative to the elements, uncorrected, eV/f.u.: -4.32

Cell: 4.332 4.332 6.033 Å, 90.00 90.00 90.00°
Positions (direct):
Sm (0.000, 0.000, 0.000)
Tm (0.500, 0.500, 0.500)
Pb (0.500, 0.500, 0.000)
Se (0.000, 0.000, 0.500)

***

# 4
SnPb2Se | PBE | optimized geometry

Symmetry: I-42d
Energy above the most stable polymorph in this dataset, kJ/mol of formula units: 59
Energy relative to the elements, uncorrected, eV/f.u.: 0.24

Cell: 8.801 8.801 8.801 Å, 136.05 136.05 63.90°
Positions (direct):
Sn (0.000, 0.000, 0.000)
Sn (0.750, 0.250, 0.500)
Pb (0.137, 0.625, 0.012)
Pb (0.375, 0.387, 0.512)
Pb (0.613, 0.125, 0.988)
Pb (0.875, 0.863, 0.488)
Se (0.250, 0.750, 0.500)
Se (0.500, 0.500, 0.000)

***

# 5
Sn6PbSe8 | PBE | optimized geometry

Symmetry: R-3
Energy above the most stable polymorph in this dataset, kJ/mol of formula units: 44
Energy relative to the elements, uncorrected, eV/f.u.: -4.80

Cell: 7.796 7.796 7.796 Å, 82.11 82.11 82.11°
Positions (direct):
Sn (0.116, 0.637, 0.875)
Sn (0.125, 0.884, 0.363)
Sn (0.363, 0.125, 0.884)
Sn (0.637, 0.875, 0.116)
Sn (0.875, 0.116, 0.637)
Sn (0.884, 0.363, 0.125)
Pb (0.500, 0.500, 0.500)
Se (0.159, 0.362, 0.678)
Se (0.212, 0.212, 0.212)
Se (0.322, 0.841, 0.638)
Se (0.362, 0.678, 0.159)
Se (0.638, 0.322, 0.841)
Se (0.678, 0.159, 0.362)
Se (0.788, 0.788, 0.788)
Se (0.841, 0.638, 0.322)

***

# 6
Sn2PbSe2 | PBE | optimized geometry

Symmetry: I4/mmm
Energy above the most stable polymorph in this dataset, kJ/mol of formula units: 32
Energy relative to the elements, uncorrected, eV/f.u.: -0.60

Cell: 6.124 6.124 6.124 Å, 124.67 124.67 82.08°
Positions (direct):
Sn (0.163, 0.163, 0.000)
Sn (0.837, 0.837, 0.000)
Pb (0.500, 0.500, 0.000)
Se (0.250, 0.750, 0.500)
Se (0.750, 0.250, 0.500)

***

# 7
SnPb2Se | PBE | optimized geometry

Symmetry: P4/mmm
Energy above the most stable polymorph in this dataset, kJ/mol of formula units: 4
Energy relative to the elements, uncorrected, eV/f.u.: -0.33

Cell: 3.656 3.656 8.485 Å, 90.00 90.00 90.00°
Positions (direct):
Sn (0.000, 0.000, 0.000)
Pb (0.500, 0.500, 0.280)
Pb (0.500, 0.500, 0.720)
Se (0.000, 0.000, 0.500)

***

# 8
Sn5PbSe7 | PBE | optimized geometry

Symmetry: Cm
Energy relative to the elements, uncorrected, eV/f.u.: -5.52

Cell: 7.215 7.215 24.865 Å, 90.16 90.16 33.95°
Positions (direct):
Sn (0.000, 0.000, 0.000)
Sn (0.000, 0.000, 0.203)
Sn (0.078, 0.078, 0.703)
Sn (0.079, 0.079, 0.500)
Sn (0.270, 0.270, 0.275)
Sn (0.270, 0.270, 0.928)
Sn (0.539, 0.539, 0.351)
Sn (0.539, 0.539, 0.851)
Sn (0.808, 0.808, 0.428)
Sn (0.808, 0.808, 0.775)
Pb (0.338, 0.338, 0.602)
Pb (0.740, 0.740, 0.101)
Se (0.088, 0.088, 0.101)
Se (0.174, 0.174, 0.815)
Se (0.175, 0.175, 0.388)
Se (0.364, 0.364, 0.176)
Se (0.365, 0.365, 0.027)
Se (0.440, 0.440, 0.742)
Se (0.441, 0.441, 0.460)
Se (0.638, 0.638, 0.242)
Se (0.638, 0.638, 0.961)
Se (0.713, 0.713, 0.676)
Se (0.715, 0.715, 0.527)
Se (0.904, 0.904, 0.315)
Se (0.904, 0.904, 0.888)
Se (0.990, 0.990, 0.601)

***

# 9
Sn3Pb2Se6 | PBE | optimized geometry

Symmetry: C2/m
Energy relative to the elements, uncorrected, eV/f.u.: -4.64

Cell: 7.233 7.233 7.535 Å, 99.17 99.17 117.50°
Positions (direct):
Sn (0.000, 0.000, 0.000)
Sn (0.329, 0.671, 0.000)
Sn (0.671, 0.329, 0.000)
Pb (0.168, 0.832, 0.500)
Pb (0.832, 0.168, 0.500)
Se (0.065, 0.385, 0.221)
Se (0.215, 0.215, 0.755)
Se (0.385, 0.065, 0.221)
Se (0.615, 0.935, 0.779)
Se (0.785, 0.785, 0.245)
Se (0.935, 0.615, 0.779)

***

# 10
SnPb2Se | PBE | optimized geometry

Symmetry: R3m
Energy above the most stable polymorph in this dataset, kJ/mol of formula units: 0
Energy relative to the elements, uncorrected, eV/f.u.: -0.37

Cell: 9.164 9.164 9.164 Å, 25.08 25.08 25.08°
Positions (direct):
Sn (0.000, 0.000, 0.000)
Pb (0.244, 0.244, 0.244)
Pb (0.427, 0.427, 0.427)
Se (0.832, 0.832, 0.832)

***

# 11
Sn2PbSe | PBE | optimized geometry

Symmetry: Fm-3m
Energy above the most stable polymorph in this dataset, kJ/mol of formula units: 0
Energy relative to the elements, uncorrected, eV/f.u.: 0.26

Cell: 5.334 5.334 5.334 Å, 60.00 60.00 60.00°
Positions (direct):
Sn (0.250, 0.250, 0.250)
Sn (0.750, 0.750, 0.750)
Pb (0.000, 0.000, 0.000)
Se (0.500, 0.500, 0.500)

***

# 12
Sn3Pb4Se8 | PBE | optimized geometry

Symmetry: C2/m
Energy above the most stable polymorph in this dataset, kJ/mol of formula units: 0
Energy relative to the elements, uncorrected, eV/f.u.: -6.38

Cell: 8.504 8.504 8.453 Å, 119.63 119.63 90.34°
Positions (direct):
Sn (0.000, 0.000, 0.000)
Sn (0.000, 0.500, 0.500)
Sn (0.500, 0.000, 0.500)
Pb (0.000, 0.000, 0.500)
Pb (0.000, 0.500, 0.000)
Pb (0.500, 0.000, 0.000)
Pb (0.500, 0.500, 0.000)
Se (0.246, 0.754, 0.000)
Se (0.248, 0.248, 0.008)
Se (0.251, 0.251, 0.489)
Se (0.254, 0.746, 0.500)
Se (0.746, 0.254, 0.500)
Se (0.749, 0.749, 0.511)
Se (0.752, 0.752, 0.992)
Se (0.754, 0.246, 0.000)

***

# 13
Sn2PbSe4 | PBE | optimized geometry

Symmetry: Cmcm
Energy relative to the elements, uncorrected, eV/f.u.: -2.80

Cell: 7.041 7.041 14.007 Å, 90.00 90.00 145.88°
Positions (direct):
Sn (0.136, 0.864, 0.561)
Sn (0.136, 0.864, 0.939)
Sn (0.864, 0.136, 0.061)
Sn (0.864, 0.136, 0.439)
Pb (0.407, 0.593, 0.750)
Pb (0.593, 0.407, 0.250)
Se (0.059, 0.941, 0.750)
Se (0.233, 0.767, 0.117)
Se (0.233, 0.767, 0.383)
Se (0.500, 0.500, 0.000)
Se (0.500, 0.500, 0.500)
Se (0.767, 0.233, 0.617)
Se (0.767, 0.233, 0.883)
Se (0.941, 0.059, 0.250)

***

# 14
Sn2Pb2Se5 | PBE | optimized geometry

Symmetry: C2/m
Energy relative to the elements, uncorrected, eV/f.u.: -3.33

Cell: 7.741 7.741 8.462 Å, 121.94 121.94 40.48°
Positions (direct):
Sn (0.112, 0.112, 0.419)
Sn (0.888, 0.888, 0.581)
Pb (0.383, 0.383, 0.027)
Pb (0.617, 0.617, 0.973)
Se (0.000, 0.000, 0.000)
Se (0.125, 0.125, 0.756)
Se (0.364, 0.364, 0.635)
Se (0.636, 0.636, 0.365)
Se (0.875, 0.875, 0.244)

***

# 15
Sn3PbSe4 | PBE | optimized geometry

Symmetry: Cmmm
Energy relative to the elements, uncorrected, eV/f.u.: -3.72

Cell: 7.462 7.462 4.304 Å, 90.00 90.00 109.43°
Positions (direct):
Sn (0.000, 0.000, 0.000)
Sn (0.000, 0.500, 0.500)
Sn (0.500, 0.000, 0.500)
Pb (0.500, 0.500, 0.000)
Se (0.245, 0.245, 0.500)
Se (0.247, 0.753, 0.000)
Se (0.753, 0.247, 0.000)
Se (0.755, 0.755, 0.500)

***

# 16
Sn2Pb2Se | PBE | optimized geometry

Symmetry: I4/mmm
Energy above the most stable polymorph in this dataset, kJ/mol of formula units: 0
Energy relative to the elements, uncorrected, eV/f.u.: -0.17

Cell: 9.171 9.171 9.171 Å, 153.70 153.70 37.53°
Positions (direct):
Sn (0.250, 0.750, 0.500)
Sn (0.750, 0.250, 0.500)
Pb (0.094, 0.094, 0.000)
Pb (0.906, 0.906, 0.000)
Se (0.500, 0.500, 0.000)

***

# 17
Sn2PbSe2 | PBE | optimized geometry

Symmetry: I4/mmm
Energy above the most stable polymorph in this dataset, kJ/mol of formula units: 55
Energy relative to the elements, uncorrected, eV/f.u.: -0.37

Cell: 8.803 8.803 8.803 Å, 152.80 152.80 38.85°
Positions (direct):
Sn (0.250, 0.750, 0.500)
Sn (0.750, 0.250, 0.500)
Pb (0.000, 0.000, 0.000)
Se (0.403, 0.403, 0.000)
Se (0.597, 0.597, 0.000)

***

# 18
Sn3Pb2Se8 | PBE | optimized geometry

Symmetry: C2/m
Energy relative to the elements, uncorrected, eV/f.u.: -4.46

Cell: 8.445 8.445 7.014 Å, 105.91 105.91 55.97°
Positions (direct):
Sn (0.000, 0.000, 0.000)
Sn (0.259, 0.741, 0.500)
Sn (0.741, 0.259, 0.500)
Pb (0.266, 0.266, 0.837)
Pb (0.734, 0.734, 0.163)
Se (0.107, 0.107, 0.406)
Se (0.125, 0.656, 0.104)
Se (0.344, 0.875, 0.896)
Se (0.378, 0.378, 0.530)
Se (0.622, 0.622, 0.470)
Se (0.656, 0.125, 0.104)
Se (0.875, 0.344, 0.896)
Se (0.893, 0.893, 0.594)

***

# 19
SnPb2Se2 | PBE | optimized geometry

Symmetry: I4/mmm
Energy above the most stable polymorph in this dataset, kJ/mol of formula units: 88
Energy relative to the elements, uncorrected, eV/f.u.: -0.28

Cell: 6.245 6.245 6.245 Å, 124.25 124.25 82.79°
Positions (direct):
Sn (0.000, 0.000, 0.000)
Pb (0.331, 0.331, 0.000)
Pb (0.669, 0.669, 0.000)
Se (0.250, 0.750, 0.500)
Se (0.750, 0.250, 0.500)

***

# 20
Sn2PbSe2 | PBE | optimized geometry

Symmetry: P4/mbm
Energy above the most stable polymorph in this dataset, kJ/mol of formula units: 0
Energy relative to the elements, uncorrected, eV/f.u.: -0.94

Cell: 8.444 8.444 4.024 Å, 90.00 90.00 90.00°
Positions (direct):
Sn (0.174, 0.326, 0.000)
Sn (0.326, 0.826, 0.000)
Sn (0.674, 0.174, 0.000)
Sn (0.826, 0.674, 0.000)
Pb (0.000, 0.000, 0.500)
Pb (0.500, 0.500, 0.500)
Se (0.159, 0.659, 0.500)
Se (0.341, 0.159, 0.500)
Se (0.659, 0.841, 0.500)
Se (0.841, 0.341, 0.500)

***

# 21
Sn2PbSe3 | PBE | optimized geometry

Symmetry: P2_1/m
Energy above the most stable polymorph in this dataset, kJ/mol of formula units: 34
Energy relative to the elements, uncorrected, eV/f.u.: -2.50

Cell: 7.302 4.235 11.344 Å, 90.00 102.37 90.00°
Positions (direct):
Sn (0.022, 0.250, 0.329)
Sn (0.248, 0.250, 0.002)
Sn (0.752, 0.750, 0.998)
Sn (0.978, 0.750, 0.671)
Pb (0.470, 0.250, 0.669)
Pb (0.530, 0.750, 0.331)
Se (0.131, 0.750, 0.158)
Se (0.240, 0.750, 0.499)
Se (0.358, 0.750, 0.841)
Se (0.642, 0.250, 0.159)
Se (0.760, 0.250, 0.501)
Se (0.869, 0.250, 0.842)

***

# 22
Sn2PbSe3 | PBE | optimized geometry

Symmetry: Cmcm
Energy above the most stable polymorph in this dataset, kJ/mol of formula units: 234
Energy relative to the elements, uncorrected, eV/f.u.: -0.42

Cell: 8.258 8.258 6.210 Å, 90.00 90.00 115.57°
Positions (direct):
Sn (0.170, 0.170, 0.000)
Sn (0.170, 0.170, 0.500)
Sn (0.830, 0.830, 0.000)
Sn (0.830, 0.830, 0.500)
Pb (0.249, 0.751, 0.750)
Pb (0.751, 0.249, 0.250)
Se (0.152, 0.451, 0.250)
Se (0.169, 0.831, 0.250)
Se (0.451, 0.152, 0.750)
Se (0.549, 0.848, 0.250)
Se (0.831, 0.169, 0.750)
Se (0.848, 0.549, 0.750)

***

# 23
Sn2Pb2Se | PBE | optimized geometry

Symmetry: P4/mbm
Energy above the most stable polymorph in this dataset, kJ/mol of formula units: 51
Energy relative to the elements, uncorrected, eV/f.u.: 0.36

Cell: 8.322 8.322 4.486 Å, 90.00 90.00 90.00°
Positions (direct):
Sn (0.124, 0.376, 0.000)
Sn (0.376, 0.876, 0.000)
Sn (0.624, 0.124, 0.000)
Sn (0.876, 0.624, 0.000)
Pb (0.180, 0.680, 0.500)
Pb (0.320, 0.180, 0.500)
Pb (0.680, 0.820, 0.500)
Pb (0.820, 0.320, 0.500)
Se (0.000, 0.000, 0.500)
Se (0.500, 0.500, 0.500)